*i*
The following is a PBE-GGA calculation of crystalline LiCr2CoOs at its relaxed geometry, from Alexandria.

Cell lengths 4.5356, 4.3819, 4.5356 Å; angles 90.00, 90.00, 90.00 degrees
Fractional positions:
Co1 0.0000 0.0000 0.0000
Li1 0.5000 0.5000 0.5000
Os1 0.0000 0.5000 0.0000
Cr1 0.0000 0.0000 0.5000
Cr2 0.5000 0.0000 0.0000

## Properties
* V: 90 Å³/cell
* total magnetic moment: 1.302 μB per atom

---

*ii*
The following is a PBE-GGA calculation of crystalline LiCr2CoOs at its relaxed geometry, from Alexandria.

Cell lengths 3.9341, 3.7450, 3.9341 Å; angles 90.00, 90.00, 90.00 degrees
Fractional positions:
Co1 0.0000 0.5000 0.0000
Li1 0.0000 0.0000 0.0000
Os1 0.5000 0.5000 0.5000
Cr1 0.0000 0.0000 0.5000
Cr2 0.5000 0.0000 0.0000

## Properties
* V: 58 Å³/cell
* total magnetic moment: 0.160 μB per atom

---

It is *ii* that is the most stable of them.

---

*i*
The following is a PBE-GGA calculation of crystalline MgCrCo at its relaxed geometry, from Alexandria.

Cell lengths 5.6926, 5.6921, 2.7607 Å; angles 75.98, 75.96, 28.07 degrees
Fractional positions:
Co1 0.0207 0.0207 0.9793
Cr1 0.6398 0.6398 0.3602
Mg1 0.3394 0.3394 0.6606

## Properties
* V: 41 Å³/cell
* total magnetic moment: 0.089 μB per atom

---

*ii*
The following is a PBE-GGA calculation of crystalline MgCrCo at its relaxed geometry, from Alexandria.

Cell lengths 3.9892, 3.9892, 3.9892 Å; angles 60.00, 60.00, 60.00 degrees
Fractional positions:
Co1 0.7500 0.7500 0.7500
Cr1 0.0000 0.0000 0.0000
Mg1 0.5000 0.5000 0.5000

## Properties
* V: 45 Å³/cell
* total magnetic moment: 0.212 μB per atom

---

*iii*
The following is a PBE-GGA calculation of crystalline MgCrCo at its relaxed geometry, from Alexandria.

Cell lengths 4.1172, 4.1172, 2.6469 Å; angles 90.00, 90.00, 120.00 degrees
Fractional positions:
Co1 0.0000 0.0000 0.0622
Cr1 0.6667 0.3333 0.2590
Mg1 0.3333 0.6667 0.6788

## Properties
* V: 39 Å³/cell
* total magnetic moment: 0.000 μB per atom

---

It is *i* that is the most stable of them.

---

*i*
The following is a PBE-GGA calculation of crystalline Mg2CrCo at its relaxed geometry, from Alexandria.

Cell lengths 2.6600, 2.6600, 8.3146 Å; angles 90.00, 90.00, 90.00 degrees
Fractional positions:
Co1 0.5000 0.5000 0.2500
Cr1 0.5000 0.5000 0.7500
Mg1 0.0000 0.0000 0.0104
Mg2 0.0000 0.0000 0.4896

## Properties
* V: 59 Å³/cell
* total magnetic moment: 0.217 μB per atom

---

*ii*
The following is a PBE-GGA calculation of crystalline Mg2CrCo at its relaxed geometry, from Alexandria.

Cell lengths 3.9451, 4.0264, 4.0264 Å; angles 90.00, 90.00, 90.00 degrees
Fractional positions:
Co1 0.5000 0.5000 0.0000
Cr1 0.5000 0.0000 0.5000
Mg1 0.0000 0.0000 0.0000
Mg2 0.0000 0.5000 0.5000

## Properties
* V: 64 Å³/cell
* total magnetic moment: 1.160 μB per atom

---

*iii*
The following is a PBE-GGA calculation of crystalline Mg2CrCo at its relaxed geometry, from Alexandria.

Cell lengths 2.9711, 2.9711, 7.3393 Å; angles 90.00, 90.00, 90.00 degrees
Fractional positions:
Co1 0.0000 0.0000 0.5390
Cr1 0.5000 0.5000 0.6947
Mg1 0.0000 0.0000 0.9651
Mg2 0.5000 0.5000 0.3012

## Properties
* V: 65 Å³/cell
* total magnetic moment: 0.735 μB per atom

---

It is *iii* that is the most stable of them.

---

*i*
The following is a PBE-GGA calculation of crystalline Mg2CrCo at its relaxed geometry, from Alexandria.

Cell lengths 2.6420, 2.6420, 8.5303 Å; angles 90.00, 90.00, 100.49 degrees
Fractional positions:
Co1 0.5000 0.5000 0.2500
Cr1 0.5000 0.5000 0.7500
Mg1 0.0000 0.0000 0.0093
Mg2 0.0000 0.0000 0.4907

## Properties
* V: 59 Å³/cell
* total magnetic moment: 0.276 μB per atom

---

*ii*
The following is a PBE-GGA calculation of crystalline Mg2CrCo at its relaxed geometry, from Alexandria.

Cell lengths 4.8614, 4.8614, 4.8614 Å; angles 131.20, 131.20, 71.49 degrees
Fractional positions:
Co1 0.2500 0.7500 0.5000
Cr1 0.7500 0.2500 0.5000
Mg1 0.0000 0.0000 0.0000
Mg2 0.5000 0.5000 0.0000

## Properties
* V: 64 Å³/cell
* total magnetic moment: 1.168 μB per atom

---

*iii*
The following is a PBE-GGA calculation of crystalline Mg2CrCo at its relaxed geometry, from Alexandria.

Cell lengths 4.4684, 4.4684, 4.4684 Å; angles 60.00, 60.00, 60.00 degrees
Fractional positions:
Cr1 0.0000 0.0000 0.0000
Mg1 0.2500 0.2500 0.2500
Mg2 0.7500 0.7500 0.7500
Co1 0.5000 0.5000 0.5000

## Properties
* V: 63 Å³/cell
* total magnetic moment: 1.119 μB per atom

---

It is *ii* that is the most stable of them.

---

*i*
The following is a PBE-GGA calculation of crystalline Mg2CrCo at its relaxed geometry, from Alexandria.

Cell lengths 9.1933, 9.1933, 9.1933 Å; angles 17.70, 17.70, 17.70 degrees
Fractional positions:
Co1 0.2500 0.2500 0.2500
Cr1 0.7500 0.7500 0.7500
Mg1 0.9953 0.9953 0.9953
Mg2 0.5047 0.5047 0.5047

## Properties
* V: 63 Å³/cell
* total magnetic moment: 0.994 μB per atom

---

*ii*
The following is a PBE-GGA calculation of crystalline Mg2CrCo at its relaxed geometry, from Alexandria.

Cell lengths 7.0262, 7.0262, 5.5845 Å; angles 51.02, 51.02, 90.00 degrees
Fractional positions:
Cr1 0.5000 0.5000 0.0000
Cr2 0.2500 0.7500 0.5000
Mg1 0.6490 0.1250 0.2500
Mg2 0.1010 0.6250 0.2500
Mg3 0.3750 0.3510 0.7500
Mg4 0.8750 0.8990 0.7500
Co1 0.0000 0.0000 0.0000
Co2 0.7500 0.2500 0.5000

## Properties
* V: 126 Å³/cell
* total magnetic moment: 0.121 μB per atom

---

*iii*
The following is a PBE-GGA calculation of crystalline Mg2CrCo at its relaxed geometry, from Alexandria.

Cell lengths 3.9631, 2.7813, 5.7061 Å; angles 76.48, 90.00, 90.00 degrees
Fractional positions:
Co1 0.0000 0.5937 0.5390
Cr1 0.5000 0.6445 0.7123
Mg1 0.0000 0.9754 0.9667
Mg2 0.5000 0.2864 0.2820

## Properties
* V: 61 Å³/cell
* total magnetic moment: 0.000 μB per atom

---

*iv*
The following is a PBE-GGA calculation of crystalline Mg2CrCo at its relaxed geometry, from Alexandria.

Cell lengths 5.3681, 5.3681, 4.5842 Å; angles 64.62, 64.62, 32.50 degrees
Fractional positions:
Co1 0.5171 0.5171 0.4867
Cr1 0.2134 0.2134 0.2836
Mg1 0.9935 0.9935 0.0084
Mg2 0.7760 0.7760 0.7212

## Properties
* V: 64 Å³/cell
* total magnetic moment: 0.864 μB per atom

---

It is *iv* that is the most stable of them.

---

*i*
The following is a PBE-GGA calculation of crystalline MnCr2Co2 at its relaxed geometry, from Alexandria.

Cell lengths 3.5530, 3.5530, 5.5908 Å; angles 71.61, 71.61, 90.01 degrees
Fractional positions:
Mn1 0.0000 0.0000 0.0000
Cr1 0.6033 0.6033 0.7919
Cr2 0.3967 0.3967 0.2081
Co1 0.2491 0.7509 0.5000
Co2 0.7509 0.2491 0.5000

## Properties
* V: 63 Å³/cell
* total magnetic moment: 0.581 μB per atom

---

*ii*
The following is a PBE-GGA calculation of crystalline MnCr2Co2 at its relaxed geometry, from Alexandria.

Cell lengths 6.7861, 6.7861, 2.4632 Å; angles 90.00, 90.00, 90.00 degrees
Fractional positions:
Cr1 0.3784 0.8784 0.0000
Cr2 0.8784 0.6216 0.0000
Cr3 0.6216 0.1216 0.0000
Cr4 0.1216 0.3784 0.0000
Mn1 0.0000 0.0000 0.0000
Mn2 0.5000 0.5000 0.0000
Co1 0.1748 0.6748 0.5000
Co2 0.6748 0.8252 0.5000
Co3 0.8252 0.3252 0.5000
Co4 0.3252 0.1748 0.5000

## Properties
* V: 113 Å³/cell
* total magnetic moment: 0.000 μB per atom

---

It is *ii* that is the most stable of them.

---

*i*
The following is a PBE-GGA calculation of crystalline Mn2CrCo2 at its relaxed geometry, from Alexandria.

Cell lengths 6.7177, 6.7177, 2.4791 Å; angles 90.00, 90.00, 90.00 degrees
Fractional positions:
Cr1 0.0000 0.0000 0.0000
Cr2 0.5000 0.5000 0.0000
Mn1 0.1741 0.6741 0.5000
Mn2 0.6741 0.8259 0.5000
Mn3 0.8259 0.3259 0.5000
Mn4 0.3259 0.1741 0.5000
Co1 0.3765 0.8765 0.0000
Co2 0.8765 0.6235 0.0000
Co3 0.6235 0.1235 0.0000
Co4 0.1235 0.3765 0.0000

## Properties
* V: 112 Å³/cell
* total magnetic moment: 0.130 μB per atom

---

*ii*
The following is a PBE-GGA calculation of crystalline Mn2CrCo2 at its relaxed geometry, from Alexandria.

Cell lengths 6.7484, 6.7484, 2.4358 Å; angles 90.00, 90.00, 90.00 degrees
Fractional positions:
Cr1 0.0000 0.0000 0.0000
Cr2 0.5000 0.5000 0.0000
Mn1 0.3777 0.8777 0.0000
Mn2 0.8777 0.6223 0.0000
Mn3 0.6223 0.1223 0.0000
Mn4 0.1223 0.3777 0.0000
Co1 0.1728 0.6728 0.5000
Co2 0.6728 0.8272 0.5000
Co3 0.8272 0.3272 0.5000
Co4 0.3272 0.1728 0.5000

## Properties
* V: 111 Å³/cell
* total magnetic moment: 0.000 μB per atom

---

It is *i* that is the most stable of them.

---

*i*
The following is a PBE-GGA calculation of crystalline MnCrCo4 at its relaxed geometry, from Alexandria.

Cell lengths 3.7666, 3.7676, 6.4313 Å; angles 72.98, 72.97, 60.01 degrees
Fractional positions:
Mn1 0.0000 0.0000 0.0000
Cr1 0.5000 0.5000 0.5000
Co1 0.6258 0.6256 0.1228
Co2 0.3742 0.3744 0.8772
Co3 0.1257 0.1255 0.6230
Co4 0.8743 0.8745 0.3770

## Properties
* V: 74 Å³/cell
* total magnetic moment: 0.221 μB per atom

---

*ii*
The following is a PBE-GGA calculation of crystalline MnCrCo4 at its relaxed geometry, from Alexandria.

Cell lengths 4.6657, 4.6657, 4.6657 Å; angles 60.00, 60.00, 60.00 degrees
Fractional positions:
Mn1 0.0000 0.0000 0.0000
Cr1 0.7500 0.7500 0.7500
Co1 0.8756 0.3748 0.3748
Co2 0.3748 0.3748 0.8756
Co3 0.3748 0.8756 0.3748
Co4 0.3748 0.3748 0.3748

## Properties
* V: 72 Å³/cell
* total magnetic moment: 1.088 μB per atom

---

It is *ii* that is the most stable of them.

---

*i*
The following is a PBE-GGA calculation of crystalline MnCr3Co at its relaxed geometry, from Alexandria.

Cell lengths 4.1392, 4.1392, 4.1392 Å; angles 90.00, 90.00, 90.00 degrees
Fractional positions:
Cr1 0.0000 0.5000 0.0000
Cr2 0.0000 0.0000 0.5000
Cr3 0.5000 0.0000 0.0000
Mn1 0.0000 0.0000 0.0000
Co1 0.5000 0.5000 0.5000

## Properties
* V: 71 Å³/cell
* total magnetic moment: 0.230 μB per atom

---

*ii*
The following is a PBE-GGA calculation of crystalline MnCr3Co at its relaxed geometry, from Alexandria.

Cell lengths 4.1304, 4.1304, 4.1304 Å; angles 90.00, 90.00, 90.00 degrees
Fractional positions:
Cr1 0.0000 0.5000 0.0000
Cr2 0.0000 0.0000 0.5000
Cr3 0.5000 0.0000 0.0000
Mn1 0.5000 0.5000 0.5000
Co1 0.0000 0.0000 0.0000

## Properties
* V: 70 Å³/cell
* total magnetic moment: 0.000 μB per atom

---

It is *i* that is the most stable of them.

---

*i*
The following is a PBE-GGA calculation of crystalline MnCrCo6 at its relaxed geometry, from Alexandria.

Cell lengths 6.0988, 6.0988, 9.9442 Å; angles 90.00, 90.00, 109.40 degrees
Fractional positions:
Co1 0.2494 0.7506 0.4992
Co2 0.8753 0.6258 0.6244
Co3 0.1247 0.3742 0.6244
Co4 0.7506 0.2494 0.4992
Co5 0.3742 0.1247 0.6244
Co6 0.6258 0.8753 0.6244
Co7 0.5000 0.5000 0.2500
Co8 0.1237 0.3748 0.3742
Co9 0.3748 0.1237 0.3742
Co10 0.2494 0.7506 0.0008
Co11 0.8763 0.6252 0.1258
Co12 0.1237 0.3748 0.1258
Co13 0.7506 0.2494 0.0008
Co14 0.3748 0.1237 0.1258
Co15 0.6252 0.8763 0.1258
Co16 0.5000 0.5000 0.7500
Co17 0.1247 0.3742 0.8756
Co18 0.3742 0.1247 0.8756
Co19 0.0000 0.0000 0.2500
Co20 0.6252 0.8763 0.3742
Co21 0.8763 0.6252 0.3742
Co22 0.0000 0.0000 0.7500
Co23 0.6258 0.8753 0.8756
Co24 0.8753 0.6258 0.8756
Cr1 0.2493 0.7507 0.2500
Cr2 0.7507 0.2493 0.2500
Cr3 0.0000 0.0000 0.5012
Cr4 0.0000 0.0000 0.9988
Mn1 0.2494 0.7506 0.7500
Mn2 0.7506 0.2494 0.7500
Mn3 0.5000 0.5000 0.5005
Mn4 0.5000 0.5000 0.9995

## Properties
* V: 349 Å³/cell
* total magnetic moment: 0.091 μB per atom

---

*ii*
The following is a PBE-GGA calculation of crystalline MnCrCo6 at its relaxed geometry, from Alexandria.

Cell lengths 4.5448, 4.5519, 7.1353 Å; angles 121.57, 121.47, 96.04 degrees
Fractional positions:
Mn1 0.0000 0.0000 0.0000
Cr1 0.5000 0.5000 0.5000
Co1 0.5702 0.5692 0.2100
Co2 0.8600 0.2305 0.7232
Co3 0.4298 0.4308 0.7900
Co4 0.7690 0.1391 0.2772
Co5 0.1400 0.7695 0.2768
Co6 0.2310 0.8609 0.7228

## Properties
* V: 92 Å³/cell
* total magnetic moment: 1.162 μB per atom

---

It is *i* that is the most stable of them.